TlZnSi: relaxed, GGA-PBEsol.

abc: 4.4580 4.4580 4.4580
angles: 60.00 60.00 60.00
Atoms (fractional coordinates):
Zn1 0.2500 0.2500 0.2500
Tl1 0.5000 0.5000 0.5000
Si1 0.0000 0.0000 0.0000

ΔE_f (raw)	0.405	eV/atom
calculated volume	20.88	A^3/atom
total moment	0.000	μB per cell
space-group type	No. 216


SiTcPtC2: relaxed, GGA-PBEsol.

abc: 3.7162 3.7162 4.7599
angles: 90.00 90.00 90.00
Each line ends with the local moment (μB).
Atoms (fractional coordinates):
C1 0.5000 0.0000 0.0000  -0.02
C2 0.0000 0.5000 0.0000  -0.02
Si1 0.0000 0.0000 0.0000  0.01
Tc1 0.5000 0.5000 0.5000  2.36
Pt1 0.0000 0.0000 0.5000  0.22

ΔE_f (raw)	1.815	eV/atom
calculated volume	13.15	A^3/atom
total moment	2.726	μB per cell
space-group type	No. 123


GePS2Br: relaxed, GGA-PBEsol.

abc: 4.7865 4.7865 4.7715
angles: 90.00 90.00 90.00
Atoms (fractional coordinates):
P1 0.0000 0.0000 0.5000
Ge1 0.5000 0.5000 0.5000
S1 0.0000 0.5000 0.0000
Br1 0.0000 0.0000 0.0000
S2 0.5000 0.0000 0.0000

ΔE_f (raw)	1.109	eV/atom
calculated volume	21.86	A^3/atom
total moment	0.000	μB per cell
space-group type	No. 123


ZnFeTe2: relaxed, GGA-PBEsol.

abc: 3.7010 5.3209 5.3209
angles: 71.18 69.65 69.65
Each line ends with the local moment (μB).
Atoms (fractional coordinates):
Fe1 0.0000 0.5000 0.5000  2.65
Zn1 0.5000 0.0000 0.0000  -0.01
Te1 0.2705 0.7295 0.7295  0.01
Te2 0.7295 0.2705 0.2705  0.01

ΔE_f (raw)	0.392	eV/atom
calculated volume	22.41	A^3/atom
total moment	2.779	μB per cell
space-group type	No. 71


In eV/atom, the uncorrected energy values for the records above are, in order, -2.9150 -6.8377 -3.1644 -4.0072.